The following is a PBE-GGA calculation of a relaxed structure of Ti5NiSb2, from Alexandria.

abc: 7.8294 7.8294 7.8294
angles: 95.99 95.99 142.31
Last column: nearest neighbours and their distance in Å.
Element x y z (fractional)
Ti  0.0721  0.7931  0.8652  2 Ni 2.62, 2 Sb 2.80-2.82
Ti  0.2069  0.0721  0.2790  2 Ni 2.62, 2 Sb 2.80-2.82
Ti  0.2500  0.7500  0.5000  2 Ti 2.53, 4 Sb 2.74
Ti  0.2931  0.5721  0.8652  2 Ni 2.62, 2 Sb 2.80-2.82
Ti  0.4279  0.2931  0.7210  2 Ni 2.62, 2 Sb 2.80-2.82
Ti  0.5721  0.7069  0.2790  2 Ni 2.62, 2 Sb 2.80-2.82
Ti  0.7069  0.4279  0.1348  2 Ni 2.62, 2 Sb 2.80-2.82
Ti  0.7500  0.2500  0.5000  2 Ti 2.53, 4 Sb 2.74
Ti  0.7931  0.9279  0.7210  2 Ni 2.62, 2 Sb 2.80-2.82
Ti  0.9279  0.2069  0.1348  2 Ni 2.62, 2 Sb 2.80-2.82
Ni  0.2500  0.2500  0.0000  2 Ni 2.53, 8 Ti 2.62
Ni  0.7500  0.7500  0.0000  2 Ni 2.53, 8 Ti 2.62
Sb  0.1643  0.3357  0.5000  10 Ti 2.74-3.03
Sb  0.3357  0.8357  0.1714  10 Ti 2.74-3.03
Sb  0.6643  0.1643  0.8286  10 Ti 2.74-3.03
Sb  0.8357  0.6643  0.5000  10 Ti 2.74-3.03

Final energy = -7.146 eV/atom
D(E_F) = 1.567 states/eV/atom
Total magnetization = 0.002 μB/f.u.